No. 1
Compound: YHo4Au2
Source: Alexandria via LeMat-Bulk
Functional: PBE-GGA
Structure: optimized geometry

Calculated values
- magnetic moment (μB per formula unit) = 0.00
- volume (Å³/f.u.) = 210.4
- space-group type = No. 166
- energy of formation (kJ/mol of formula units) = -181

Cell: 4.8853 4.8853 10.5637 Å, 76.63 76.63 60.00°
Atoms (fractional coordinates):
Y (0.5000, 0.5000, 0.5000)
Ho (0.7008, 0.7008, 0.8977)
Ho (0.8993, 0.8993, 0.3021)
Ho (0.2992, 0.2992, 0.1023)
Ho (0.1007, 0.1007, 0.6979)
Au (0.6016, 0.6016, 0.1952)
Au (0.3984, 0.3984, 0.8048)


No. 2
Compound: Y2HoAu3
Source: Alexandria via LeMat-Bulk
Functional: PBE-GGA
Structure: optimized geometry

Calculated values
- magnetic moment (μB per formula unit) = 0.00
- volume (Å³/f.u.) = 139.7
- space-group type = No. 123
- energy of formation (kJ/mol of formula units) = -503

Cell: 3.5796 3.5796 10.9039 Å, 90.00 90.00 90.00°
Atoms (fractional coordinates):
Y (0.5000, 0.5000, 0.8326)
Y (0.5000, 0.5000, 0.1674)
Ho (0.5000, 0.5000, 0.5000)
Au (0.0000, 0.0000, 0.0000)
Au (0.0000, 0.0000, 0.6637)
Au (0.0000, 0.0000, 0.3363)


No. 3
Compound: Y3HoAu2
Source: Alexandria via LeMat-Bulk
Functional: PBE-GGA
Structure: optimized geometry

Calculated values
- magnetic moment (μB per formula unit) = 0.00
- energy above the lowest structure with this stoichiometry (kcal/mol of atoms) = 4.15
- volume (Å³/f.u.) = 178.8
- space-group type = No. 72
- energy of formation (kJ/mol of formula units) = -268

Cell: 7.0280 7.3317 8.6004 Å, 115.23 114.12 90.00°
Atoms (fractional coordinates):
Y (0.5000, 0.2500, 0.0000)
Y (0.5000, 0.7500, 0.0000)
Y (0.7670, 0.0170, 0.5340)
Y (0.2330, 0.4830, 0.4660)
Y (0.2330, 0.9830, 0.4660)
Y (0.7670, 0.5170, 0.5340)
Ho (0.0000, 0.5000, 0.0000)
Ho (0.0000, 0.0000, 0.0000)
Au (0.5663, 0.3592, 0.7183)
Au (0.8480, 0.1408, 0.2817)
Au (0.1520, 0.8592, 0.7183)
Au (0.4337, 0.6408, 0.2817)


No. 4
Compound: Y3HoAu4
Source: Alexandria via LeMat-Bulk
Functional: PBE-GGA
Structure: optimized geometry

Calculated values
- magnetic moment (μB per formula unit) = 0.00
- volume (Å³/f.u.) = 186.8
- space-group type = No. 123
- energy of formation (kJ/mol of formula units) = -665

Cell: 3.5980 3.5980 14.4271 Å, 90.00 90.00 90.00°
Atoms (fractional coordinates):
Y (0.5000, 0.5000, 0.2491)
Y (0.5000, 0.5000, 0.5000)
Y (0.5000, 0.5000, 0.7509)
Au (0.0000, 0.0000, 0.8780)
Au (0.0000, 0.0000, 0.1220)
Au (0.0000, 0.0000, 0.3751)
Au (0.0000, 0.0000, 0.6249)
Ho (0.5000, 0.5000, 0.0000)


No. 5
Compound: Y3HoAu2
Source: Alexandria via LeMat-Bulk
Functional: PBE-GGA
Structure: optimized geometry

Calculated values
- magnetic moment (μB per formula unit) = 0.00
- energy above the lowest structure with this stoichiometry (kcal/mol of atoms) = 0.00
- volume (Å³/f.u.) = 159.0
- space-group type = No. 26
- energy of formation (kJ/mol of formula units) = -372

Cell: 4.9821 7.1034 8.9831 Å, 90.00 90.00 90.00°
Atoms (fractional coordinates):
Y (0.0000, 0.4872, 0.9270)
Y (0.0000, 0.9872, 0.0730)
Y (0.5000, 0.6487, 0.1694)
Y (0.5000, 0.1487, 0.8306)
Y (0.0000, 0.3509, 0.3328)
Y (0.0000, 0.8509, 0.6672)
Ho (0.5000, 0.5130, 0.5748)
Ho (0.5000, 0.0130, 0.4252)
Au (0.5000, 0.7396, 0.8476)
Au (0.5000, 0.2396, 0.1524)
Au (0.0000, 0.2606, 0.6518)
Au (0.0000, 0.7606, 0.3482)


No. 6
Compound: Y2HoAu
Source: Alexandria via LeMat-Bulk
Functional: PBE-GGA
Structure: optimized geometry

Calculated values
- magnetic moment (μB per formula unit) = 0.62
- energy above the lowest structure with this stoichiometry (kcal/mol of atoms) = 3.92
- volume (Å³/f.u.) = 118.7
- space-group type = No. 160
- energy of formation (kJ/mol of formula units) = -111

Cell: 3.7423 3.7423 10.0259 Å, 79.24 79.24 60.00°
Last column: magnetic moment on the atom in μB.
Atoms (fractional coordinates):
Y (0.0696, 0.0696, 0.7911)  0.07
Y (0.2636, 0.2636, 0.2092)  0.05
Ho (0.5007, 0.5007, 0.4979)  0.27
Au (0.6661, 0.6661, 0.0018)  0.00


No. 7
Compound: Y2HoAu
Source: Alexandria via LeMat-Bulk
Functional: PBE-GGA
Structure: optimized geometry

Calculated values
- magnetic moment (μB per formula unit) = 0.46
- energy above the lowest structure with this stoichiometry (kcal/mol of atoms) = 9.48
- volume (Å³/f.u.) = 125.3
- space-group type = No. 166
- energy of formation (kJ/mol of formula units) = -18

Cell: 3.6518 3.6518 11.0490 Å, 80.49 80.49 60.00°
Last column: magnetic moment on the atom in μB.
Atoms (fractional coordinates):
Y (0.1041, 0.1041, 0.6878)  0.02
Y (0.8959, 0.8959, 0.3122)  0.02
Au (0.5000, 0.5000, 0.5000)  0.00
Ho (0.0000, 0.0000, 0.0000)  0.24


No. 8
Compound: Y3Ho4Au4
Source: Alexandria via LeMat-Bulk
Functional: PBE-GGA
Structure: optimized geometry

Calculated values
- magnetic moment (μB per formula unit) = 0.00
- volume (Å³/f.u.) = 289.5
- space-group type = No. 71
- energy of formation (kJ/mol of formula units) = -613

Cell: 4.8201 7.6973 9.0273 Å, 115.24 105.48 90.00°
Atoms (fractional coordinates):
Y (0.1035, 0.1035, 0.2070)
Y (0.8965, 0.8965, 0.7930)
Y (0.0000, 0.5000, 0.0000)
Ho (0.3275, 0.1140, 0.6550)
Ho (0.6725, 0.4590, 0.3450)
Ho (0.6725, 0.8860, 0.3450)
Ho (0.3275, 0.5410, 0.6550)
Au (0.2058, 0.7058, 0.4117)
Au (0.7942, 0.2942, 0.5883)
Au (0.5000, 0.8123, 0.0000)
Au (0.5000, 0.1877, 0.0000)


No. 9
Compound: YHoAu4
Source: Alexandria via LeMat-Bulk
Functional: PBE-GGA
Structure: optimized geometry

Calculated values
- magnetic moment (μB per formula unit) = 0.00
- volume (Å³/f.u.) = 127.1
- space-group type = No. 65
- energy of formation (kJ/mol of formula units) = -500

Cell: 5.2969 5.2875 5.2548 Å, 90.00 59.74 90.02°
Atoms (fractional coordinates):
Y (0.5000, 0.0000, 0.5000)
Ho (0.0000, 0.5000, 0.5000)
Au (0.3347, 0.4999, 0.8306)
Au (0.6653, 0.5001, 0.1694)
Au (0.1642, 0.0000, 0.1715)
Au (0.8358, 0.0000, 0.8285)


No. 10
Compound: Y3HoAu
Source: Alexandria via LeMat-Bulk
Functional: PBE-GGA
Structure: optimized geometry

Calculated values
- magnetic moment (μB per formula unit) = 0.00
- volume (Å³/f.u.) = 156.7
- space-group type = No. 12
- energy of formation (kJ/mol of formula units) = -114

Cell: 7.1603 7.1603 7.7685 Å, 102.04 116.68 106.65°
Atoms (fractional coordinates):
Y (0.8257, 0.9942, 0.2198)
Y (0.2256, 0.3940, 0.2198)
Y (0.7744, 0.6060, 0.7802)
Y (0.7330, 0.4570, 0.1900)
Y (0.1743, 0.0058, 0.7802)
Y (0.2670, 0.5430, 0.8100)
Ho (0.6973, 0.0797, 0.7770)
Ho (0.3027, 0.9203, 0.2230)
Au (0.6571, 0.7743, 0.4314)
Au (0.3429, 0.2257, 0.5686)


No. 11
Compound: YHo4Au5
Source: Alexandria via LeMat-Bulk
Functional: PBE-GGA
Structure: optimized geometry

Calculated values
- magnetic moment (μB per formula unit) = 0.00
- volume (Å³/f.u.) = 230.8
- space-group type = No. 123
- energy of formation (kJ/mol of formula units) = -841

Cell: 3.5602 3.5602 18.2131 Å, 90.00 90.00 90.00°
Atoms (fractional coordinates):
Y (0.0000, 0.0000, 0.0000)
Ho (0.0000, 0.0000, 0.2007)
Ho (0.0000, 0.0000, 0.4002)
Ho (0.0000, 0.0000, 0.5998)
Ho (0.0000, 0.0000, 0.7993)
Au (0.5000, 0.5000, 0.1021)
Au (0.5000, 0.5000, 0.3005)
Au (0.5000, 0.5000, 0.5000)
Au (0.5000, 0.5000, 0.6995)
Au (0.5000, 0.5000, 0.8979)


No. 12
Compound: Y2HoAu4
Source: Alexandria via LeMat-Bulk
Functional: PBE-GGA
Structure: optimized geometry

Calculated values
- magnetic moment (μB per formula unit) = 0.00
- volume (Å³/f.u.) = 172.4
- space-group type = No. 139
- energy of formation (kJ/mol of formula units) = -476

Cell: 5.1596 5.1596 7.4316 Å, 110.31 110.31 90.00°
Atoms (fractional coordinates):
Y (0.7270, 0.7270, 0.4540)
Y (0.2730, 0.2730, 0.5460)
Ho (0.0000, 0.0000, 0.0000)
Au (0.3808, 0.8808, 0.7615)
Au (0.8808, 0.3808, 0.7615)
Au (0.6192, 0.1192, 0.2385)
Au (0.1192, 0.6192, 0.2385)


Number 1: density of states at the Fermi level 8.4 states/eV/f.u.. Number 2: density of states at the Fermi level 2.0 states/eV/f.u.. Number 3: density of states at the Fermi level 8.5 states/eV/f.u.. Number 4: density of states at the Fermi level 5.4 states/eV/f.u.. Number 5: density of states at the Fermi level 6.0 states/eV/f.u.. Number 6: density of states at the Fermi level 4.7 states/eV/f.u.. Number 7: density of states at the Fermi level 5.6 states/eV/f.u.. Number 8: density of states at the Fermi level 9.0 states/eV/f.u.. Number 9: density of states at the Fermi level 2.4 states/eV/f.u.. Number 10: density of states at the Fermi level 8.2 states/eV/f.u.. Number 11: density of states at the Fermi level 4.0 states/eV/f.u.. Number 12: density of states at the Fermi level 5.7 states/eV/f.u..